## ZrAlAs2 (PBE)

Data for ZrAlAs2 after structural relaxation.

```
data_ZrAlAs2
_chemical_formula_sum 'Zr1 Al1 As2'
_space_group_name_H-M_alt 'P 4 m m'
_space_group_IT_number 99
_cell_length_a 3.111
_cell_length_b 3.111
_cell_length_c 8.430
_cell_angle_alpha 90.00
_cell_angle_beta 90.00
_cell_angle_gamma 90.00
loop_
_space_group_symop_operation_xyz
'x,y,z'
'-y,x,z'
'-x,-y,z'
'y,-x,z'
'-x,y,z'
'y,x,z'
'x,-y,z'
'-y,-x,z'
loop_
_atom_site_label
_atom_site_type_symbol
_atom_site_fract_x
_atom_site_fract_y
_atom_site_fract_z
Zr1 Zr 0.000 0.000 0.000
Al1 Al 0.500 0.500 0.239
As1 As 0.000 0.000 0.418
As2 As 0.500 0.500 0.765
```

## Properties
uncorrected energy	-22.2	eV for the cell shown

=====

## PuMg2AgAu4 (PBE)

Data for PuMg2AgAu4 after structural relaxation.

```
data_PuMg2AgAu4
_chemical_formula_sum 'Pu3 Mg6 Ag3 Au12'
_space_group_name_H-M_alt 'R -3 m'
_space_group_IT_number 166
_space_group_name_Hall '-R 3 2"'
_cell_length_a 4.6743
_cell_length_b 4.6743
_cell_length_c 25.9234
_cell_angle_alpha 90.00
_cell_angle_beta 90.00
_cell_angle_gamma 120.00
loop_
_atom_site_label
_atom_site_type_symbol
_atom_site_fract_x
_atom_site_fract_y
_atom_site_fract_z
Pu1 Pu 0.0000 0.0000 0.0000
Mg1 Mg 0.0000 0.0000 0.2368
Ag1 Ag 0.0000 0.0000 0.5000
Au1 Au 0.0000 0.0000 0.1216
Au2 Au 0.0000 0.0000 0.3907
```

## Properties
uncorrected energy	-109.7	eV for the cell shown

=====

## Pa8SiTc5 (PBE)

Data for Pa8SiTc5 after structural relaxation.

```
data_Pa8SiTc5
_chemical_formula_sum 'Pa16 Si2 Tc10'
_space_group_name_H-M_alt 'I -4'
_space_group_IT_number 82
_cell_length_a 8.697
_cell_length_b 8.697
_cell_length_c 8.144
_cell_angle_alpha 90.00
_cell_angle_beta 90.00
_cell_angle_gamma 90.00
loop_
_space_group_symop_operation_xyz
'x,y,z'
'y,-x,-z'
'-x,-y,z'
'-y,x,-z'
'x+1/2,y+1/2,z+1/2'
'y+1/2,-x+1/2,-z+1/2'
'-x+1/2,-y+1/2,z+1/2'
'-y+1/2,x+1/2,-z+1/2'
loop_
_atom_site_label
_atom_site_type_symbol
_atom_site_fract_x
_atom_site_fract_y
_atom_site_fract_z
Pa1 Pa 0.058 0.308 0.441
Pa2 Pa 0.060 0.181 0.821
Si1 Si 0.000 0.500 0.750
Tc1 Tc 0.000 0.000 0.500
Tc2 Tc 0.138 0.257 0.115
```

## Properties
uncorrected energy	-271.7	eV for the cell shown
uncorrected formation energy	-0.187	eV per atom

=====

## Sr2AlSnAu6 (PBE)

Data for Sr2AlSnAu6 after structural relaxation.

```
data_Sr2AlSnAu6
_chemical_formula_sum 'Sr4 Al2 Sn2 Au12'
_space_group_name_H-M_alt 'P m m n'
_space_group_IT_number 59
_cell_length_a 6.040
_cell_length_b 8.912
_cell_length_c 9.169
_cell_angle_alpha 90.00
_cell_angle_beta 90.00
_cell_angle_gamma 90.00
loop_
_space_group_symop_operation_xyz
'x,y,z'
'-x,-y,-z'
'-x+1/2,-y+1/2,z'
'x+1/2,y+1/2,-z'
'x+1/2,-y,-z'
'-x+1/2,y,z'
'-x,y+1/2,-z'
'x,-y+1/2,z'
loop_
_atom_site_label
_atom_site_type_symbol
_atom_site_fract_x
_atom_site_fract_y
_atom_site_fract_z
Sr1 Sr 0.250 0.002 0.232
Al1 Al 0.250 0.250 0.746
Sn1 Sn 0.250 0.750 0.783
Au1 Au 0.006 0.750 0.488
Au2 Au 0.011 0.250 0.974
Au3 Au 0.250 0.501 0.607
```

## Properties
uncorrected energy	-72.5	eV for the cell shown